(1)
A geometry-optimized Tm3Si2Ir2 structure. Source: Alexandria via LeMat-Bulk, functional PBE-GGA.

It has space group Pbcm (No. 57), with a = 5.578 Å, b = 7.700 Å, c = 12.983 Å, α = 90.00°, β = 90.00° and γ = 90.00°. The inequivalent atoms are Tm at (0.121, 0.249, 0.250), Tm at (0.362, 0.608, 0.104), Si at (0.098, 0.250, 0.000), Si at (0.366, 0.604, 0.750) and Ir at (0.150, 0.526, 0.590).

The formation energy without anion corrections comes out at -1.00 eV/atom. For the spin magnetization, the calculation gives 0.00 μB per cell.

(2)
A geometry-optimized Pm2SmTm6 structure. Source: Alexandria via LeMat-Bulk, functional PBE-GGA.

It has space group C2/c (No. 15), with a = 12.774 Å, b = 14.071 Å, c = 6.522 Å, α = 90.00°, β = 103.02° and γ = 90.00°. The inequivalent atoms are Pm at (0.142, 0.027, 0.373), Sm at (0.000, 0.380, 0.250), Tm at (0.035, 0.188, 0.001), Tm at (0.133, 0.413, 0.818) and Tm at (0.240, 0.202, 0.734).

The energy above the most stable polymorph in this dataset comes out at 33 meV/atom. For the spin magnetization, the calculation gives 0.00 μB per cell. The energy relative to the elements comes out at 0.9 eV per formula unit.